{"formula": "SrLa2Cd2", "functional": "PBE", "state": "optimized geometry", "lattice": [[4.854, 0.000, 0.000], [0.000, 4.854, 0.000], [2.427, 2.427, 7.500]], "species": ["Sr", "Cd", "Cd", "La", "La"], "fractional_positions": [[0.000, 0.000, 0.000], [0.405, 0.405, 0.190], [0.595, 0.595, 0.810], [0.250, 0.750, 0.500], [0.750, 0.250, 0.500]], "ef_ev_per_atom": -0.136, "spacegroup": "I4/mmm, No. 139"}


{"formula": "ZrPb", "functional": "PBE", "state": "optimized geometry", "lattice": [[-1.551, 2.099, 2.094], [-1.300, -3.023, -0.606], [2.637, -1.909, 3.867]], "species": ["Pb", "Zr"], "fractional_positions": [[0.000, 0.000, 0.500], [0.333, 0.667, 0.000]], "ef_ev_per_atom": -0.132, "spacegroup": "P-6m2, No. 187"}


{"formula": "Er4Th3Se8", "functional": "PBE", "state": "optimized geometry", "lattice": [[-4.471, 5.962, -3.460], [3.317, -5.890, -4.675], [-3.662, -5.732, 4.615]], "species": ["Se", "Se", "Se", "Se", "Se", "Se", "Se", "Se", "Th", "Th", "Th", "Er", "Er", "Er", "Er"], "fractional_positions": [[0.500, 0.756, 0.244], [0.504, 0.246, 0.246], [0.000, 0.251, 0.749], [0.990, 0.246, 0.246], [0.010, 0.754, 0.754], [0.500, 0.244, 0.756], [0.000, 0.749, 0.251], [0.496, 0.754, 0.754], [0.500, 0.500, 0.000], [0.500, 0.500, 0.500], [0.500, 0.000, 0.500], [0.500, 0.000, 0.000], [0.000, 0.000, 0.000], [0.000, 0.000, 0.500], [0.000, 0.500, 0.000]], "e_form_raw_ev_per_fu": -25.26, "spacegroup": "C2/m, No. 12"}


{"formula": "YTi2BP", "functional": "PBE", "state": "optimized geometry", "lattice": [[-1.480, -0.229, 3.972], [3.023, -3.732, 0.912], [2.989, 2.732, 1.271]], "species": ["Ti", "Ti", "B", "Y", "P"], "fractional_positions": [[0.500, 0.000, 0.000], [0.000, 0.000, 0.500], [0.000, 0.000, 0.000], [0.000, 0.500, 0.000], [0.500, 0.500, 0.500]], "ef_ev_per_atom": -0.300, "spacegroup": "P4/mmm, No. 123"}


{"formula": "NaMgTa2Sn", "functional": "PBE", "state": "optimized geometry", "lattice": [[-4.446, -1.559, 1.457], [1.773, -1.082, 4.254], [-1.069, 4.541, 1.600]], "species": ["Ta", "Ta", "Mg", "Na", "Sn"], "fractional_positions": [[0.500, 0.000, 0.000], [0.000, 0.000, 0.500], [0.000, 0.000, 0.000], [0.000, 0.500, 0.000], [0.500, 0.500, 0.500]], "ef_ev_per_atom": 1.542, "spacegroup": "P4/mmm, No. 123"}


{"formula": "CsGaTe", "functional": "PBE", "state": "optimized geometry", "lattice": [[4.476, 0.000, -0.801], [0.000, 5.371, 0.000], [-0.507, 0.000, 10.079]], "species": ["Te", "Te", "Cs", "Cs", "Ga", "Ga"], "fractional_positions": [[0.888, 0.750, 0.777], [0.112, 0.250, 0.223], [0.325, 0.250, 0.649], [0.675, 0.750, 0.351], [0.478, 0.750, 0.955], [0.522, 0.250, 0.045]], "e_form_raw_ev_per_fu": -1.82, "spacegroup": "Cmcm, No. 63"}


{"formula": "Ba2LiPuAu6", "functional": "PBE", "state": "optimized geometry", "lattice": [[-3.242, 3.955, -5.308], [-6.277, -3.707, 1.071], [-6.235, 3.653, 1.420]], "species": ["Pu", "Au", "Au", "Au", "Au", "Au", "Au", "Ba", "Ba", "Li"], "fractional_positions": [[0.500, 0.500, 0.000], [0.772, 0.773, 0.455], [0.228, 0.772, 0.000], [0.228, 0.227, 0.545], [0.772, 0.772, 0.000], [0.228, 0.228, 0.000], [0.772, 0.228, 0.000], [0.250, 0.750, 0.500], [0.750, 0.250, 0.500], [0.000, 0.000, 0.000]], "ef_ev_per_atom": -0.388, "spacegroup": "Immm, No. 71"}


{"formula": "TaIn2Pb", "functional": "PBE", "state": "optimized geometry", "lattice": [[5.448, 0.000, 0.000], [0.000, 5.448, 0.000], [0.000, 0.000, 3.175]], "species": ["Ta", "Pb", "In", "In"], "fractional_positions": [[0.000, 0.500, 0.500], [0.500, 0.000, 0.500], [0.500, 0.500, 0.000], [0.000, 0.000, 0.000]], "ef_ev_per_atom": 0.457, "spacegroup": "P4/mmm, No. 123"}


| no. | total magnetic moment (μB per atom) | total energy (eV for the cell shown) |
| --- | --- | --- |
| 1 | 0.0000 | -14.05 |
| 2 | 0.0000 | -12.52 |
| 3 | 0.0000 | -93.65 |
| 4 | 0.2118 | -35.84 |
| 5 | 0.0000 | -22.91 |
| 6 | 0.0000 | -17.69 |
| 7 | 0.5665 | -43.63 |
| 8 | 0.0000 | -19.21 |